# 1
This record from Alexandria via LeMat-Bulk describes CsCoSeN2 at its PBEsol-relaxed geometry. The functional is SCAN.

a = 4.0912 Å, b = 4.0912 Å, c = 4.8757 Å
α = 90.00°, β = 90.00°, γ = 90.00°
Last column: nearest neighbours and their distance in Å.
Space group P4/mmm (No. 123)
Symmetry-distinct sites (fractional):
Cs1 0.0000 0.0000 0.0000 x1  4 Se 2.89, 8 N 3.18
Co1 0.5000 0.5000 0.5000 x1  4 N 2.05
Se1 0.5000 0.5000 0.0000 x1  2 Co 2.44
N1 0.0000 0.5000 0.5000 x2  2 Co 2.05

Properties
Total moment in μB per formula unit: 5.5
Mass density in g/cm3: 6.080
DOS(E_F) in states/eV/atom: 0.44



# 2
This record from Alexandria via LeMat-Bulk describes CsCoTe2N at its PBEsol-relaxed geometry. The functional is SCAN.

a = 5.9878 Å, b = 5.9878 Å, c = 3.3877 Å
α = 90.00°, β = 90.00°, γ = 90.00°
Last column: nearest neighbours and their distance in Å.
Space group P4/mmm (No. 123)
Symmetry-distinct sites (fractional):
Cs1 0.0000 0.0000 0.0000 x1  2 Cs 3.39, 8 Te 3.44
Co1 0.5000 0.5000 0.5000 x1  2 N 1.69
Te1 0.0000 0.5000 0.5000 x2  2 Co 2.99
N1 0.5000 0.5000 0.0000 x1  2 Co 1.69

Properties
Total moment in μB per formula unit: 0.0
Mass density in g/cm3: 6.303
DOS(E_F) in states/eV/atom: 0.41



# 3
This record from Alexandria via LeMat-Bulk describes CsNa3Co at its PBEsol-relaxed geometry. The functional is SCAN.

a = 5.7690 Å, b = 5.7690 Å, c = 5.7690 Å
α = 90.00°, β = 90.00°, γ = 90.00°
Last column: nearest neighbours and their distance in Å.
Space group Pm-3m (No. 221)
Symmetry-distinct sites (fractional):
Cs1 0.0000 0.0000 0.0000 x1  12 Na 4.08
Na1 0.0000 0.5000 0.5000 x3  2 Co 2.88
Co1 0.5000 0.5000 0.5000 x1  6 Na 2.88

Properties
Total moment in μB per formula unit: 2.1
Calculated formation energy in eV/atom: 0.44
Mass density in g/cm3: 2.256
DOS(E_F) in states/eV/atom: 0.53



# 4
This record from Alexandria via LeMat-Bulk describes CsNa2ZrCo at its PBEsol-relaxed geometry. The functional is SCAN.

a = 5.3190 Å, b = 5.3190 Å, c = 5.5976 Å
α = 90.00°, β = 90.00°, γ = 90.00°
Last column: nearest neighbours and their distance in Å.
Space group P4/mmm (No. 123)
Symmetry-distinct sites (fractional):
Cs1 0.0000 0.0000 0.0000 x1  4 Na 2.66, 2 Zr 2.80
Na1 0.0000 0.5000 0.0000 x2  2 Cs 2.66
Zr1 0.0000 0.0000 0.5000 x1  2 Cs 2.80
Co1 0.5000 0.5000 0.5000 x1  4 Zr 3.76, 8 Na 3.86

Properties
Total moment in μB per formula unit: 0.9
Calculated formation energy in eV/atom: 1.94
Mass density in g/cm3: 3.450
DOS(E_F) in states/eV/atom: 0.92



# 5
This record from Alexandria via LeMat-Bulk describes Cs6Co2O7 at its PBEsol-relaxed geometry. The functional is SCAN.

a = 7.1784 Å, b = 9.6866 Å, c = 12.0063 Å
α = 90.00°, β = 125.58°, γ = 90.00°
Last column: nearest neighbours and their distance in Å.
Space group P2_1/c (No. 14)
Symmetry-distinct sites (fractional):
Cs1 0.0590 0.1449 0.4220 x4  5 O 2.95-3.27
Cs2 0.1948 0.5282 0.4417 x4  5 O 2.87-3.15
Cs3 0.4165 0.2079 0.2858 x4  6 O 2.98-3.21
Co1 0.3225 0.6363 0.8681 x4  4 O 1.79-1.88
O1 0.0615 0.6608 0.8542 x4  1 Co 1.80
O2 0.2637 0.5884 0.7069 x4  1 Co 1.79
O3 0.4959 0.7112 0.4279 x4  1 Co 1.79
O4 0.5000 0.0000 0.5000 x2  2 Co 1.88

Properties
Total moment in μB per formula unit: 10.0
Mass density in g/cm3: 5.025



# 6
This record from Alexandria via LeMat-Bulk describes Cs3CoO at its PBEsol-relaxed geometry. The functional is SCAN.

a = 5.7648 Å, b = 5.7648 Å, c = 5.7648 Å
α = 90.00°, β = 90.00°, γ = 90.00°
Last column: nearest neighbours and their distance in Å.
Space group Pm-3m (No. 221)
Symmetry-distinct sites (fractional):
Cs1 0.0000 0.0000 0.5000 x3  2 O 2.88
Co1 0.5000 0.5000 0.5000 x1  12 Cs 4.08
O1 0.0000 0.0000 0.0000 x1  6 Cs 2.88

Properties
Total moment in μB per formula unit: 2.2
Mass density in g/cm3: 4.105
DOS(E_F) in states/eV/atom: 2.08



no.,DFT total energy (eV per atom)
1,-17.71
2,-27.57
3,-13.11
4,-16.91
5,-21.80
6,-27.40